Arrangement 1

Computed, not measured: SmPdPt after structural relaxation at the GGA-PBE level of DFT.

Geometry as POSCAR:
```
SmPdPt
1.0
-4.6706 -0.1933 -1.8217
3.8237 -0.6901 -2.8217
-0.2006 -5.6790 1.1171
Sm Pd Pt
2 2 2
Direct
0.6621 0.8242 0.7500
0.3379 0.1758 0.2500
0.6842 0.8684 0.2500
0.3158 0.1316 0.7500
0.0000 0.5000 0.0000
0.0000 0.5000 0.5000
```

Calculated values
size of the total moment	0.00	μB/f.u.
SG	Cmcm, No. 63



Arrangement 2

Computed, not measured: SmPdPt after structural relaxation at the GGA-PBE level of DFT.

Geometry as POSCAR:
```
SmPdPt
1.0
5.7917 -0.5860 1.1691
3.0343 2.6396 0.1650
-0.6991 0.5689 3.7472
Sm Pd Pt
1 1 1
Direct
0.5000 0.5000 0.0000
0.0000 0.5000 0.0000
0.0000 0.0000 0.5000
```

Calculated values
size of the total moment	0.00	μB/f.u.
SG	Pmmm, No. 47



Arrangement 3

Computed, not measured: SmPdPt after structural relaxation at the GGA-PBE level of DFT.

Geometry as POSCAR:
```
SmPdPt
1.0
3.7198 0.0000 0.0000
0.0000 4.4869 0.0000
0.0000 -2.2435 3.8858
Pd Sm Pt
1 1 1
Direct
0.1668 0.0000 0.0000
0.6668 0.6667 0.3333
0.1664 0.3333 0.6667
```

Calculated values
size of the total moment	0.00	μB/f.u.
SG	P-6m2, No. 187



Q: Which of them is the least stable? A: arrangement 2.



Arrangement 1

Computed, not measured: Sm6Pd5Pt after structural relaxation at the GGA-PBE level of DFT.

Geometry as POSCAR:
```
Sm6Pd5Pt
1.0
7.1730 0.2138 0.0000
2.2235 6.8734 0.0000
1.1117 3.4367 6.2531
Sm Pd Pt
6 5 1
Direct
0.7528 0.0822 0.3301
0.2472 0.5877 0.3301
0.2496 0.2467 0.0000
0.7504 0.7533 0.0000
0.7528 0.4123 0.6699
0.2472 0.9178 0.6699
0.5000 0.1684 0.6632
0.0000 0.3340 0.3320
0.5000 0.5000 0.0000
0.0000 0.6660 0.6680
0.5000 0.8316 0.3368
0.0000 0.0000 0.0000
```

Calculated values
size of the total moment	0.00	μB/f.u.
SG	C2/m, No. 12



Arrangement 2

Computed, not measured: Sm6Pd5Pt after structural relaxation at the GGA-PBE level of DFT.

Geometry as POSCAR:
```
Sm6Pd5Pt
1.0
-2.4956 -3.7157 -2.4497
-4.7441 -0.2376 5.1938
-7.8297 3.3035 -2.2316
Pt Pd Sm
1 5 6
Direct
0.0000 0.0000 0.0000
0.6691 0.1702 0.6598
0.3347 0.3336 0.3328
0.0000 0.5000 0.0000
0.6653 0.6664 0.6672
0.3309 0.8298 0.3402
0.8350 0.5861 0.3307
0.8350 0.0831 0.3308
0.5000 0.7530 0.0000
0.5000 0.2470 0.0000
0.1650 0.9169 0.6692
0.1650 0.4139 0.6693
```

Calculated values
size of the total moment	0.00	μB/f.u.
SG	C2/m, No. 12



Q: Which of them is the least stable? A: arrangement 1.